[1]
A geometry-optimized PrTa2O4 structure, computed with PBE-GGA.

Calculated values
**Total moment**: 2.8 μB per cell
**Mass density**: 9.6 g cm⁻³
**Energy**: -124.654 eV/cell

Cell and atoms, written as POSCAR:
```
PrTa2O4
1.0
0.000 4.618 4.618
4.618 0.000 4.618
4.618 4.618 0.000
Pr Ta O
2 4 8
direct
0.125 0.125 0.125
0.875 0.875 0.875
0.000 0.500 0.500
0.500 0.000 0.500
0.500 0.500 0.000
0.500 0.500 0.500
0.269 0.269 0.269
0.269 0.269 0.693
0.269 0.693 0.269
0.307 0.731 0.731
0.693 0.269 0.269
0.731 0.307 0.731
0.731 0.731 0.307
0.731 0.731 0.731
```

---

[2]
A geometry-optimized Pr2Ta2O5 structure, computed with PBE-GGA.

Calculated values
**Total moment**: 0.0 μB per cell
**Mass density**: 9.3 g cm⁻³
**Energy**: -76.573 eV/cell

Cell and atoms, written as POSCAR:
```
Pr2Ta2O5
1.0
3.507 0.000 0.000
0.000 3.507 0.000
0.000 0.000 10.458
Pr Ta O
2 2 5
direct
0.000 0.000 0.234
0.000 0.000 0.766
0.500 0.500 0.000
0.500 0.500 0.500
0.000 0.000 0.000
0.000 0.500 0.386
0.000 0.500 0.614
0.500 0.000 0.386
0.500 0.000 0.614
```

---

[3]
A geometry-optimized Tb2PrO4 structure, computed with PBE-GGA.

Calculated values
**Total moment**: 0.1 μB per cell
**Mass density**: 7.5 g cm⁻³
**Energy**: -112.180 eV/cell

Cell and atoms, written as POSCAR:
```
Tb2PrO4
1.0
0.000 4.880 4.880
4.880 0.000 4.880
4.880 4.880 0.000
Tb Pr O
4 2 8
direct
0.000 0.000 0.000
0.000 0.000 0.500
0.000 0.500 0.000
0.500 0.000 0.000
0.375 0.375 0.375
0.625 0.625 0.625
0.213 0.762 0.762
0.238 0.238 0.238
0.238 0.238 0.787
0.238 0.787 0.238
0.762 0.213 0.762
0.762 0.762 0.213
0.762 0.762 0.762
0.787 0.238 0.238
```

---

[4]
A geometry-optimized Pr2Tc2O5 structure, computed with PBE-GGA.

Calculated values
**Total moment**: 2.9 μB per cell
**Mass density**: 7.2 g cm⁻³
**Energy**: -67.822 eV/cell

Cell and atoms, written as POSCAR:
```
Pr2Tc2O5
1.0
3.613 0.000 0.000
0.000 3.613 0.000
0.000 0.000 9.888
Pr Tc O
2 2 5
direct
0.000 0.000 0.241
0.000 0.000 0.759
0.500 0.500 0.000
0.500 0.500 0.500
0.000 0.000 0.000
0.000 0.500 0.383
0.000 0.500 0.617
0.500 0.000 0.383
0.500 0.000 0.617
```

---

[5]
A geometry-optimized PrTcO3 structure, computed with PBE-GGA.

Calculated values
**Total moment**: 4.0 μB per cell
**Mass density**: 6.9 g cm⁻³
**Energy**: -79.852 eV/cell

Cell and atoms, written as POSCAR:
```
PrTcO3
1.0
2.855 1.648 4.892
-2.855 1.648 4.892
0.000 -3.297 4.892
Pr Tc O
2 2 6
direct
0.134 0.134 0.134
0.866 0.866 0.866
0.339 0.339 0.339
0.661 0.661 0.661
0.061 0.456 0.708
0.292 0.939 0.544
0.456 0.708 0.061
0.544 0.292 0.939
0.708 0.061 0.456
0.939 0.544 0.292
```

---

[6]
A geometry-optimized Pr2Tc2O5 structure, computed with PBE-GGA.

Calculated values
**Total moment**: 0.0 μB per cell
**Mass density**: 8.2 g cm⁻³
**Energy**: -72.796 eV/cell

Cell and atoms, written as POSCAR:
```
Pr2Tc2O5
1.0
4.038 0.000 0.000
0.000 4.038 0.000
0.000 0.000 6.902
Pr Tc O
2 2 5
direct
0.000 0.000 0.000
0.000 0.000 0.500
0.500 0.500 0.173
0.500 0.500 0.827
0.000 0.500 0.230
0.000 0.500 0.770
0.500 0.000 0.230
0.500 0.000 0.770
0.500 0.500 0.500
```

---

[7]
A geometry-optimized PrTc2O4 structure, computed with PBE-GGA.

Calculated values
**Total moment**: 6.0 μB per cell
**Mass density**: 7.0 g cm⁻³
**Energy**: -110.862 eV/cell

Cell and atoms, written as POSCAR:
```
PrTc2O4
1.0
0.000 4.556 4.556
4.556 0.000 4.556
4.556 4.556 0.000
Pr Tc O
2 4 8
direct
0.125 0.125 0.125
0.875 0.875 0.875
0.000 0.500 0.500
0.500 0.000 0.500
0.500 0.500 0.000
0.500 0.500 0.500
0.268 0.268 0.268
0.268 0.268 0.695
0.268 0.695 0.268
0.305 0.732 0.732
0.695 0.268 0.268
0.732 0.305 0.732
0.732 0.732 0.305
0.732 0.732 0.732
```

---

[8]
A geometry-optimized Pr2Te2O5 structure, computed with PBE-GGA.

Calculated values
**Total moment**: 0.0 μB per cell
**Mass density**: 6.7 g cm⁻³
**Energy**: -57.249 eV/cell

Cell and atoms, written as POSCAR:
```
Pr2Te2O5
1.0
3.978 0.000 0.000
0.000 3.978 0.000
0.000 0.000 9.634
Pr Te O
2 2 5
direct
0.000 0.000 0.241
0.000 0.000 0.759
0.500 0.500 0.000
0.500 0.500 0.500
0.000 0.000 0.000
0.000 0.500 0.366
0.000 0.500 0.634
0.500 0.000 0.366
0.500 0.000 0.634
```

---

[9]
A geometry-optimized Pr2Te2O5 structure, computed with PBE-GGA.

Calculated values
**Total moment**: 0.0 μB per cell
**Mass density**: 7.6 g cm⁻³
**Energy**: -53.234 eV/cell

Cell and atoms, written as POSCAR:
```
Pr2Te2O5
1.0
4.327 0.000 0.000
0.000 4.327 0.000
0.000 0.000 7.214
Pr Te O
2 2 5
direct
0.000 0.000 0.000
0.000 0.000 0.500
0.500 0.500 0.205
0.500 0.500 0.795
0.000 0.500 0.264
0.000 0.500 0.736
0.500 0.000 0.264
0.500 0.000 0.736
0.500 0.500 0.500
```

---

[10]
A geometry-optimized PrTlTeO structure, computed with PBE-GGA.

Calculated values
**Total moment**: 0.0 μB per cell
**Mass density**: 5.6 g cm⁻³
**Energy**: -42.716 eV/cell

Cell and atoms, written as POSCAR:
```
PrTlTeO
1.0
5.120 0.000 0.000
0.000 8.116 0.000
0.000 0.000 6.943
Pr Tl Te O
2 2 2 2
direct
0.000 0.130 0.000
0.000 0.870 0.500
0.500 0.272 0.397
0.500 0.728 0.897
0.500 0.320 0.876
0.500 0.680 0.376
0.000 0.089 0.315
0.000 0.911 0.815
```

---

[11]
A geometry-optimized PrTmTeO2 structure, computed with PBE-GGA.

Calculated values
**Total moment**: 0.0 μB per cell
**Mass density**: 7.8 g cm⁻³
**Energy**: -73.639 eV/cell

Cell and atoms, written as POSCAR:
```
PrTmTeO2
1.0
3.973 0.000 0.000
0.000 3.973 0.000
0.000 0.000 12.647
Pr Tm Te O
2 2 2 4
direct
0.000 0.000 0.000
0.500 0.500 0.500
0.000 0.000 0.678
0.500 0.500 0.178
0.000 0.000 0.341
0.500 0.500 0.841
0.000 0.500 0.101
0.000 0.500 0.601
0.500 0.000 0.101
0.500 0.000 0.601
```

---

[12]
A geometry-optimized PrYTeO2 structure, computed with PBE-GGA.

Calculated values
**Total moment**: 0.0 μB per cell
**Mass density**: 6.3 g cm⁻³
**Energy**: -77.434 eV/cell

Cell and atoms, written as POSCAR:
```
PrYTeO2
1.0
4.002 0.000 0.000
0.000 4.002 0.000
0.000 0.000 12.716
Pr Y Te O
2 2 2 4
direct
0.000 0.000 0.000
0.500 0.500 0.500
0.000 0.000 0.320
0.500 0.500 0.820
0.000 0.000 0.659
0.500 0.500 0.159
0.000 0.500 0.402
0.000 0.500 0.902
0.500 0.000 0.402
0.500 0.000 0.902
```

---

[13]
A geometry-optimized PrTl2O4 structure, computed with PBE-GGA.

Calculated values
**Total moment**: 0.0 μB per cell
**Mass density**: 8.5 g cm⁻³
**Energy**: -79.068 eV/cell

Cell and atoms, written as POSCAR:
```
PrTl2O4
1.0
0.000 4.936 4.936
4.936 0.000 4.936
4.936 4.936 0.000
Pr Tl O
2 4 8
direct
0.125 0.125 0.125
0.875 0.875 0.875
0.000 0.500 0.500
0.500 0.000 0.500
0.500 0.500 0.000
0.500 0.500 0.500
0.258 0.258 0.258
0.258 0.258 0.725
0.258 0.725 0.258
0.275 0.742 0.742
0.725 0.258 0.258
0.742 0.275 0.742
0.742 0.742 0.275
0.742 0.742 0.742
```

---

[14]
A geometry-optimized PrTlZnO3 structure, computed with PBE-GGA.

Calculated values
**Total moment**: 0.0 μB per cell
**Mass density**: 7.4 g cm⁻³
**Energy**: -68.258 eV/cell

Cell and atoms, written as POSCAR:
```
PrTlZnO3
1.0
1.856 -5.734 0.000
1.856 5.734 0.000
0.000 0.000 9.649
Pr Tl Zn O
2 2 2 6
direct
0.000 0.000 0.000
0.000 0.000 0.500
0.281 0.719 0.750
0.719 0.281 0.250
0.433 0.567 0.250
0.567 0.433 0.750
0.035 0.965 0.250
0.379 0.621 0.064
0.379 0.621 0.436
0.621 0.379 0.564
0.621 0.379 0.936
0.965 0.035 0.750
```

---

[15]
A geometry-optimized PrTmO4 structure, computed with PBE-GGA.

Calculated values
**Total moment**: 0.0 μB per cell
**Mass density**: 7.8 g cm⁻³
**Energy**: -92.693 eV/cell

Cell and atoms, written as POSCAR:
```
PrTmO4
1.0
6.777 0.000 0.000
0.000 3.792 0.000
-0.762 0.000 6.211
Pr Tm O
2 2 8
direct
0.000 0.000 0.000
0.500 0.500 0.000
0.377 0.000 0.461
0.877 0.500 0.461
0.044 0.000 0.391
0.108 0.500 0.778
0.282 0.500 0.652
0.339 0.000 0.104
0.544 0.500 0.391
0.608 0.000 0.778
0.782 0.000 0.652
0.839 0.500 0.104
```

---

[16]
A geometry-optimized Pr3TmO6 structure, computed with PBE-GGA.

Calculated values
**Total moment**: 0.0 μB per cell
**Mass density**: 6.9 g cm⁻³
**Energy**: -165.289 eV/cell

Cell and atoms, written as POSCAR:
```
Pr3TmO6
1.0
4.986 2.879 3.864
-4.986 2.879 3.864
0.000 -5.757 3.864
Pr Tm O
6 2 12
direct
0.058 0.752 0.564
0.248 0.436 0.942
0.436 0.942 0.248
0.564 0.058 0.752
0.752 0.564 0.058
0.942 0.248 0.436
0.000 0.000 0.000
0.500 0.500 0.500
0.035 0.694 0.906
0.094 0.965 0.306
0.195 0.434 0.587
0.306 0.094 0.965
0.413 0.805 0.566
0.434 0.587 0.195
0.566 0.413 0.805
0.587 0.195 0.434
0.694 0.906 0.035
0.805 0.566 0.413
0.906 0.035 0.694
0.965 0.306 0.094
```

---

[17]
A geometry-optimized Pr2Y2O5 structure, computed with PBE-GGA.

Calculated values
**Total moment**: 0.0 μB per cell
**Mass density**: 6.2 g cm⁻³
**Energy**: -71.637 eV/cell

Cell and atoms, written as POSCAR:
```
Pr2Y2O5
1.0
4.344 0.000 0.000
0.000 4.344 0.000
0.000 0.000 7.718
Pr Y O
2 2 5
direct
0.000 0.000 0.000
0.000 0.000 0.500
0.500 0.500 0.227
0.500 0.500 0.773
0.000 0.500 0.238
0.000 0.500 0.762
0.500 0.000 0.238
0.500 0.000 0.762
0.500 0.500 0.500
```

---

[18]
A geometry-optimized Pr2Y2O5 structure, computed with PBE-GGA.

Calculated values
**Total moment**: 1.5 μB per cell
**Mass density**: 5.7 g cm⁻³
**Energy**: -71.645 eV/cell

Cell and atoms, written as POSCAR:
```
Pr2Y2O5
1.0
3.908 0.000 0.000
0.000 3.908 0.000
0.000 0.000 10.340
Pr Y O
2 2 5
direct
0.000 0.000 0.239
0.000 0.000 0.761
0.500 0.500 0.000
0.500 0.500 0.500
0.000 0.000 0.500
0.000 0.500 0.132
0.000 0.500 0.868
0.500 0.000 0.132
0.500 0.000 0.868
```

---

[19]
A geometry-optimized PrY2O4 structure, computed with PBE-GGA.

Calculated values
**Total moment**: 0.1 μB per cell
**Mass density**: 5.5 g cm⁻³
**Energy**: -119.456 eV/cell

Cell and atoms, written as POSCAR:
```
PrY2O4
1.0
0.000 4.868 4.868
4.868 0.000 4.868
4.868 4.868 0.000
Pr Y O
2 4 8
direct
0.125 0.125 0.125
0.875 0.875 0.875
0.000 0.500 0.500
0.500 0.000 0.500
0.500 0.500 0.000
0.500 0.500 0.500
0.262 0.262 0.262
0.262 0.262 0.713
0.262 0.713 0.262
0.287 0.738 0.738
0.713 0.262 0.262
0.738 0.287 0.738
0.738 0.738 0.287
0.738 0.738 0.738
```

---

[20]
A geometry-optimized PrY2O3 structure, computed with PBE-GGA.

Calculated values
**Total moment**: 0.0 μB per cell
**Mass density**: 6.9 g cm⁻³
**Energy**: -49.221 eV/cell

Cell and atoms, written as POSCAR:
```
PrY2O3
1.0
3.456 0.000 0.000
-1.728 2.993 0.000
0.000 0.000 8.569
Pr Y O
1 2 3
direct
0.000 0.000 0.000
0.333 0.667 0.664
0.667 0.333 0.336
0.000 0.000 0.500
0.333 0.667 0.199
0.667 0.333 0.801
```

---

[21]
A geometry-optimized Pr2YO3 structure, computed with PBE-GGA.

Calculated values
**Total moment**: 0.0 μB per cell
**Mass density**: 7.5 g cm⁻³
**Energy**: -47.364 eV/cell

Cell and atoms, written as POSCAR:
```
Pr2YO3
1.0
3.491 0.000 0.000
-1.745 3.023 0.000
0.000 0.000 8.816
Pr Y O
2 1 3
direct
0.333 0.667 0.170
0.667 0.333 0.830
0.000 0.000 0.500
0.000 0.000 0.000
0.333 0.667 0.638
0.667 0.333 0.362
```

---

[22]
A geometry-optimized PrZn2O4 structure, computed with PBE-GGA.

Calculated values
**Total moment**: 2.0 μB per cell
**Mass density**: 6.1 g cm⁻³
**Energy**: -78.370 eV/cell

Cell and atoms, written as POSCAR:
```
PrZn2O4
1.0
0.000 4.516 4.516
4.516 0.000 4.516
4.516 4.516 0.000
Pr Zn O
2 4 8
direct
0.125 0.125 0.125
0.875 0.875 0.875
0.000 0.500 0.500
0.500 0.000 0.500
0.500 0.500 0.000
0.500 0.500 0.500
0.267 0.267 0.267
0.267 0.267 0.698
0.267 0.698 0.267
0.302 0.733 0.733
0.698 0.267 0.267
0.733 0.302 0.733
0.733 0.733 0.302
0.733 0.733 0.733
```